# 1
## SrY2ClO (PBE)

Data for crystalline SrY2ClO at its relaxed geometry.

Computed properties:
The density of states at the Fermi level comes out at 0.927 states/eV/atom. For the uncorrected energy, the calculation gives -4.16 eV per atom. The value obtained for the uncorrected formation energy is 0.6 eV per formula unit.

Lattice parameters (Å, degrees): 6.1806 4.4111 6.1806 90.00 90.00 90.00
Closest atoms and distances in Å follow each position.
Positions (direct):
Y  0.0000  0.0000  0.5000  2 Sr 3.09
Y  0.5000  0.0000  0.0000  2 Sr 3.09
Sr  0.0000  0.0000  0.0000  2 O 2.21
O  0.0000  0.5000  0.0000  2 Sr 2.21
Cl  0.5000  0.5000  0.5000  8 Y 3.80

=====

# 2
## Sr3Zn2Cl2O4 (PBE)

Data for crystalline Sr3Zn2Cl2O4 at its relaxed geometry.

Computed properties:
The density of states at the Fermi level comes out at 0.006 states/eV/atom. For the uncorrected energy, the calculation gives -4.97 eV per atom. The value obtained for the uncorrected formation energy is -23.6 eV per formula unit.

Lattice parameters (Å, degrees): 4.1035 4.1035 11.5795 100.21 100.21 90.00
Closest atoms and distances in Å follow each position.
Positions (direct):
Sr  0.0000  0.0000  0.0000  8 O 2.69
Sr  0.1496  0.1496  0.2992  4 O 2.61
Sr  0.8504  0.8504  0.7008  4 O 2.61
Zn  0.4201  0.4201  0.8402  4 O 2.05
Zn  0.5799  0.5799  0.1598  4 O 2.05
Cl  0.2982  0.2982  0.5964  1 Zn 2.73
Cl  0.7018  0.7018  0.4036  1 Zn 2.73
O  0.4225  0.9225  0.8449  2 Zn 2.05
O  0.9225  0.4225  0.8449  2 Zn 2.05
O  0.0775  0.5775  0.1551  2 Zn 2.05
O  0.5775  0.0775  0.1551  2 Zn 2.05

=====

# 3
## Sr2ZrClO (PBE)

Data for crystalline Sr2ZrClO at its relaxed geometry.

Computed properties:
The density of states at the Fermi level comes out at 0.814 states/eV/atom. For the uncorrected energy, the calculation gives -3.65 eV per atom. The value obtained for the uncorrected formation energy is 0.5 eV per formula unit.

Lattice parameters (Å, degrees): 5.7199 4.5773 5.7199 90.00 90.00 90.00
Closest atoms and distances in Å follow each position.
Positions (direct):
Sr  0.0000  0.0000  0.5000  2 Cl 2.86
Sr  0.5000  0.0000  0.0000  2 Cl 2.86
O  0.0000  0.5000  0.0000  2 Cl 2.29
Zr  0.5000  0.5000  0.5000  8 Sr 3.66, 4 O 4.04
Cl  0.0000  0.0000  0.0000  2 O 2.29

=====

# 4
## TaClO2 (PBE)

Data for crystalline TaClO2 at its relaxed geometry.

Computed properties:
The density of states at the Fermi level comes out at 0.073 states/eV/atom. For the uncorrected energy, the calculation gives -6.56 eV per atom. The value obtained for the uncorrected formation energy is -2.6 eV per formula unit.

Lattice parameters (Å, degrees): 3.9328 3.9328 3.9328 60.00 60.00 60.00
Closest atoms and distances in Å follow each position.
Positions (direct):
Cl  0.0000  0.0000  0.0000  8 O 2.41
O  0.2500  0.2500  0.2500  4 Ta 2.41, 4 Cl 2.41
O  0.7500  0.7500  0.7500  4 Ta 2.41, 4 Cl 2.41
Ta  0.5000  0.5000  0.5000  8 O 2.41

=====

# 5
## TaCl3O (PBE)

Data for crystalline TaCl3O at its relaxed geometry.

Computed properties:
The density of states at the Fermi level comes out at 0.000 states/eV/atom. For the uncorrected energy, the calculation gives -6.26 eV per atom. The value obtained for the uncorrected formation energy is -8.9 eV per formula unit.

Lattice parameters (Å, degrees): 3.8477 11.9325 11.9325 90.00 90.00 90.00
Closest atoms and distances in Å follow each position.
Positions (direct):
Cl  0.2510  0.0968  0.5968  2 Ta 2.57
Cl  0.7491  0.8082  0.0984  1 Ta 2.29
Cl  0.7491  0.1918  0.9016  1 Ta 2.29
Cl  0.7490  0.4032  0.0968  2 Ta 2.57
Cl  0.2510  0.9032  0.4032  2 Ta 2.57
Cl  0.7491  0.5984  0.3082  1 Ta 2.29
Cl  0.7491  0.4016  0.6918  1 Ta 2.29
Cl  0.2509  0.9016  0.8082  1 Ta 2.29
Cl  0.7490  0.5968  0.9032  2 Ta 2.57
Cl  0.2509  0.6918  0.5984  1 Ta 2.29
Cl  0.2509  0.3082  0.4016  1 Ta 2.29
Cl  0.2509  0.0984  0.1918  1 Ta 2.29
O  0.7509  0.1056  0.3944  2 Ta 1.93
O  0.2491  0.6056  0.1056  2 Ta 1.93
O  0.2491  0.3944  0.8944  2 Ta 1.93
O  0.7509  0.8944  0.6056  2 Ta 1.93
Ta  0.7491  0.6175  0.1175  2 O 1.93
Ta  0.2509  0.1175  0.3825  2 O 1.93
Ta  0.7491  0.3825  0.8825  2 O 1.93
Ta  0.2509  0.8825  0.6175  2 O 1.93

=====

# 6
## TaClO2 (PBE)

Data for crystalline TaClO2 at its relaxed geometry.

Computed properties:
The density of states at the Fermi level comes out at 0.400 states/eV/atom. For the uncorrected energy, the calculation gives -7.98 eV per atom. The value obtained for the uncorrected formation energy is -8.3 eV per formula unit.

Lattice parameters (Å, degrees): 6.0776 6.0776 6.0776 60.00 60.00 90.00
Closest atoms and distances in Å follow each position.
Positions (direct):
Cl  0.5000  0.5000  0.0000  12 O 3.56-3.57, 4 Ta 3.72, 4 Cl 3.72
Cl  0.2500  0.7500  0.5000  12 O 3.56-3.57, 4 Ta 3.72, 4 Cl 3.72
O  0.8744  0.1250  0.2500  2 Ta 1.86
O  0.8756  0.6250  0.2500  2 Ta 1.86
O  0.3750  0.1256  0.7500  2 Ta 1.86
O  0.8750  0.1244  0.7500  2 Ta 1.86
Ta  0.0000  0.0000  0.0000  4 O 1.86
Ta  0.7500  0.2500  0.5000  4 O 1.86

=====

# 7
## Ta3ClO (PBE)

Data for crystalline Ta3ClO at its relaxed geometry.

Computed properties:
The density of states at the Fermi level comes out at 0.252 states/eV/atom. For the uncorrected energy, the calculation gives -8.35 eV per atom. The value obtained for the uncorrected formation energy is 0.6 eV per formula unit.

Lattice parameters (Å, degrees): 4.2882 4.2882 4.2882 90.00 90.00 90.00
Closest atoms and distances in Å follow each position.
Positions (direct):
Cl  0.5000  0.5000  0.5000  12 Ta 3.03
O  0.0000  0.0000  0.0000  6 Ta 2.14
Ta  0.0000  0.5000  0.0000  2 O 2.14
Ta  0.0000  0.0000  0.5000  2 O 2.14
Ta  0.5000  0.0000  0.0000  2 O 2.14

=====

# 8
## TaCl3O (PBE)

Data for crystalline TaCl3O at its relaxed geometry.

Computed properties:
The density of states at the Fermi level comes out at 2.016 states/eV/atom. For the uncorrected energy, the calculation gives -3.33 eV per atom. The value obtained for the uncorrected formation energy is 5.7 eV per formula unit.

Lattice parameters (Å, degrees): 4.3981 4.3981 4.3981 90.00 90.00 90.00
Closest atoms and distances in Å follow each position.
Positions (direct):
Cl  0.0000  0.5000  0.0000  2 O 2.20
Cl  0.0000  0.0000  0.5000  2 O 2.20
Cl  0.5000  0.0000  0.0000  2 O 2.20
O  0.0000  0.0000  0.0000  6 Cl 2.20
Ta  0.5000  0.5000  0.5000  12 Cl 3.11

=====

uncorrected formation energy of number 5 (TaCl3O)?
-8.9 eV per formula unit